Entry 1:
{
  "formula": "YTiSe3",
  "functional": "GGA-PBE",
  "state": "optimized geometry",
  "sg": "Pm-3m (221)",
  "de_polymorph_mev_per_atom": 426,
  "e_form_raw_ev_per_atom": -0.97,
  "lattice": [[4.928, 0.000, 0.000], [0.000, 4.928, 0.000], [0.000, 0.000, 4.928]],
  "species": ["Y", "Ti", "Se", "Se", "Se"],
  "frac_coords": [[0.000, 0.000, 0.000], [0.500, 0.500, 0.500], [0.000, 0.500, 0.500], [0.500, 0.000, 0.500], [0.500, 0.500, 0.000]]
}


Entry 2:
{
  "formula": "YTiSe2",
  "functional": "GGA-PBE",
  "state": "optimized geometry",
  "sg": "Fm-3m (225)",
  "de_polymorph_mev_per_atom": 0,
  "e_form_raw_ev_per_atom": -1.13,
  "lattice": [[6.821, 0.000, 0.000], [0.000, 6.821, 0.000], [0.000, 0.000, 6.821]],
  "species": ["Y", "Y", "Y", "Y", "Ti", "Ti", "Ti", "Ti", "Se", "Se", "Se", "Se", "Se", "Se", "Se", "Se"],
  "frac_coords": [[0.000, 0.000, 0.000], [0.000, 0.500, 0.500], [0.500, 0.000, 0.500], [0.500, 0.500, 0.000], [0.000, 0.000, 0.500], [0.000, 0.500, 0.000], [0.500, 0.000, 0.000], [0.500, 0.500, 0.500], [0.250, 0.250, 0.250], [0.250, 0.250, 0.750], [0.250, 0.750, 0.250], [0.250, 0.750, 0.750], [0.750, 0.250, 0.250], [0.750, 0.250, 0.750], [0.750, 0.750, 0.250], [0.750, 0.750, 0.750]]
}


Entry 3:
{
  "formula": "Y3TiSe",
  "functional": "GGA-PBE",
  "state": "optimized geometry",
  "sg": "Pm-3m (221)",
  "de_polymorph_mev_per_atom": 0,
  "e_form_raw_ev_per_atom": -0.18,
  "lattice": [[5.361, 0.000, 0.000], [0.000, 5.361, 0.000], [0.000, 0.000, 5.361]],
  "species": ["Y", "Y", "Y", "Ti", "Se"],
  "frac_coords": [[0.000, 0.000, 0.500], [0.000, 0.500, 0.000], [0.500, 0.000, 0.000], [0.500, 0.500, 0.500], [0.000, 0.000, 0.000]]
}


Entry 4:
{
  "formula": "YTiSe",
  "functional": "GGA-PBE",
  "state": "optimized geometry",
  "sg": "P4/nmm (129)",
  "e_form_raw_ev_per_atom": -1.00,
  "lattice": [[3.907, 0.000, 0.000], [0.000, 3.907, 0.000], [0.000, 0.000, 7.864]],
  "species": ["Y", "Y", "Ti", "Ti", "Se", "Se"],
  "frac_coords": [[0.250, 0.250, 0.141], [0.750, 0.750, 0.859], [0.250, 0.750, 0.500], [0.750, 0.250, 0.500], [0.250, 0.250, 0.739], [0.750, 0.750, 0.261]]
}


Entry 5:
{
  "formula": "Y3TiSe",
  "functional": "GGA-PBE",
  "state": "optimized geometry",
  "sg": "Pm-3m (221)",
  "de_polymorph_mev_per_atom": 519,
  "e_form_raw_ev_per_atom": 0.34,
  "lattice": [[5.347, 0.000, 0.000], [0.000, 5.347, 0.000], [0.000, 0.000, 5.347]],
  "species": ["Y", "Y", "Y", "Ti", "Se"],
  "frac_coords": [[0.000, 0.000, 0.500], [0.000, 0.500, 0.000], [0.500, 0.000, 0.000], [0.000, 0.000, 0.000], [0.500, 0.500, 0.500]]
}


Entry 6:
{
  "formula": "YTiSe2",
  "functional": "GGA-PBE",
  "state": "optimized geometry",
  "sg": "I-42d (122)",
  "de_polymorph_mev_per_atom": 136,
  "e_form_raw_ev_per_atom": -0.99,
  "lattice": [[6.007, 0.000, 0.000], [0.000, 6.007, 0.000], [0.000, 0.000, 12.598]],
  "species": ["Y", "Y", "Y", "Y", "Ti", "Ti", "Ti", "Ti", "Se", "Se", "Se", "Se", "Se", "Se", "Se", "Se"],
  "frac_coords": [[0.000, 0.000, 0.000], [0.000, 0.500, 0.250], [0.500, 0.000, 0.750], [0.500, 0.500, 0.500], [0.000, 0.000, 0.500], [0.000, 0.500, 0.750], [0.500, 0.000, 0.250], [0.500, 0.500, 0.000], [0.214, 0.250, 0.625], [0.250, 0.714, 0.875], [0.250, 0.786, 0.375], [0.286, 0.250, 0.125], [0.714, 0.750, 0.125], [0.750, 0.214, 0.375], [0.750, 0.286, 0.875], [0.786, 0.750, 0.625]]
}


Entry 7:
{
  "formula": "YTiSe3",
  "functional": "GGA-PBE",
  "state": "optimized geometry",
  "sg": "P2_1/c (14)",
  "de_polymorph_mev_per_atom": 0,
  "e_form_raw_ev_per_atom": -1.40,
  "lattice": [[9.113, 0.000, 0.000], [0.000, 7.462, 0.000], [-3.718, 0.000, 7.443]],
  "species": ["Y", "Y", "Y", "Y", "Ti", "Ti", "Ti", "Ti", "Se", "Se", "Se", "Se", "Se", "Se", "Se", "Se", "Se", "Se", "Se", "Se"],
  "frac_coords": [[0.109, 0.212, 0.053], [0.109, 0.288, 0.553], [0.891, 0.712, 0.447], [0.891, 0.788, 0.947], [0.331, 0.602, 0.926], [0.331, 0.898, 0.426], [0.669, 0.102, 0.574], [0.669, 0.398, 0.074], [0.018, 0.510, 0.796], [0.018, 0.990, 0.296], [0.255, 0.665, 0.609], [0.255, 0.835, 0.109], [0.378, 0.228, 0.447], [0.378, 0.272, 0.947], [0.622, 0.728, 0.053], [0.622, 0.772, 0.553], [0.745, 0.165, 0.891], [0.745, 0.335, 0.391], [0.982, 0.010, 0.704], [0.982, 0.490, 0.204]]
}


Entry 8:
{
  "formula": "YTi2Se",
  "functional": "GGA-PBE",
  "state": "optimized geometry",
  "sg": "I-42d (122)",
  "e_form_raw_ev_per_atom": -0.23,
  "lattice": [[7.930, 0.000, 0.000], [0.000, 7.930, 0.000], [0.000, 0.000, 5.589]],
  "species": ["Y", "Y", "Y", "Y", "Ti", "Ti", "Ti", "Ti", "Ti", "Ti", "Ti", "Ti", "Se", "Se", "Se", "Se"],
  "frac_coords": [[0.000, 0.000, 0.000], [0.000, 0.500, 0.250], [0.500, 0.000, 0.750], [0.500, 0.500, 0.500], [0.177, 0.250, 0.625], [0.250, 0.677, 0.875], [0.250, 0.823, 0.375], [0.323, 0.250, 0.125], [0.677, 0.750, 0.125], [0.750, 0.177, 0.375], [0.750, 0.323, 0.875], [0.823, 0.750, 0.625], [0.000, 0.000, 0.500], [0.000, 0.500, 0.750], [0.500, 0.000, 0.250], [0.500, 0.500, 0.000]]
}


Entry 9:
{
  "formula": "YTiSe2",
  "functional": "GGA-PBE",
  "state": "optimized geometry",
  "sg": "R-3m (166)",
  "de_polymorph_mev_per_atom": 185,
  "e_form_raw_ev_per_atom": -0.94,
  "lattice": [[3.656, 0.000, 0.000], [-1.828, 3.166, 0.000], [0.000, 0.000, 26.084]],
  "species": ["Y", "Y", "Y", "Ti", "Ti", "Ti", "Se", "Se", "Se", "Se", "Se", "Se"],
  "frac_coords": [[0.000, 0.000, 0.000], [0.333, 0.667, 0.667], [0.667, 0.333, 0.333], [0.000, 0.000, 0.500], [0.333, 0.667, 0.167], [0.667, 0.333, 0.833], [0.000, 0.000, 0.108], [0.000, 0.000, 0.892], [0.333, 0.667, 0.558], [0.333, 0.667, 0.775], [0.667, 0.333, 0.225], [0.667, 0.333, 0.442]]
}


Entry 10:
{
  "formula": "Y2TiSe",
  "functional": "GGA-PBE",
  "state": "optimized geometry",
  "sg": "I-42d (122)",
  "e_form_raw_ev_per_atom": -0.17,
  "lattice": [[8.326, 0.000, 0.000], [0.000, 8.326, 0.000], [0.000, 0.000, 6.008]],
  "species": ["Y", "Y", "Y", "Y", "Y", "Y", "Y", "Y", "Ti", "Ti", "Ti", "Ti", "Se", "Se", "Se", "Se"],
  "frac_coords": [[0.201, 0.750, 0.125], [0.250, 0.201, 0.875], [0.250, 0.299, 0.375], [0.299, 0.750, 0.625], [0.701, 0.250, 0.625], [0.750, 0.701, 0.375], [0.750, 0.799, 0.875], [0.799, 0.250, 0.125], [0.000, 0.000, 0.500], [0.000, 0.500, 0.750], [0.500, 0.000, 0.250], [0.500, 0.500, 0.000], [0.000, 0.000, 0.000], [0.000, 0.500, 0.250], [0.500, 0.000, 0.750], [0.500, 0.500, 0.500]]
}


Entry 11:
{
  "formula": "Y2TiZnSe",
  "functional": "GGA-PBE",
  "state": "optimized geometry",
  "sg": "P4/mmm (123)",
  "e_form_raw_ev_per_atom": 0.06,
  "lattice": [[5.363, 0.000, 0.000], [0.000, 5.363, 0.000], [0.000, 0.000, 4.757]],
  "species": ["Y", "Y", "Ti", "Zn", "Se"],
  "frac_coords": [[0.000, 0.500, 0.000], [0.500, 0.000, 0.000], [0.000, 0.000, 0.500], [0.000, 0.000, 0.000], [0.500, 0.500, 0.500]]
}


Entry 12:
{
  "formula": "Ti2ZnSe",
  "functional": "GGA-PBE",
  "state": "optimized geometry",
  "sg": "R3m (160)",
  "de_polymorph_mev_per_atom": 0,
  "e_form_raw_ev_per_atom": -0.35,
  "lattice": [[3.452, 0.000, 0.000], [-1.726, 2.989, 0.000], [0.000, 0.000, 20.761]],
  "species": ["Ti", "Ti", "Ti", "Ti", "Ti", "Ti", "Zn", "Zn", "Zn", "Se", "Se", "Se"],
  "frac_coords": [[0.000, 0.000, 0.000], [0.000, 0.000, 0.185], [0.333, 0.667, 0.667], [0.333, 0.667, 0.852], [0.667, 0.333, 0.333], [0.667, 0.333, 0.519], [0.000, 0.000, 0.761], [0.333, 0.667, 0.427], [0.667, 0.333, 0.094], [0.000, 0.000, 0.592], [0.333, 0.667, 0.259], [0.667, 0.333, 0.926]]
}


Entry 13:
{
  "formula": "TiZn3Se",
  "functional": "GGA-PBE",
  "state": "optimized geometry",
  "sg": "Pm-3m (221)",
  "de_polymorph_mev_per_atom": 17,
  "e_form_raw_ev_per_atom": 0.86,
  "lattice": [[5.021, 0.000, 0.000], [0.000, 5.021, 0.000], [0.000, 0.000, 5.021]],
  "species": ["Ti", "Zn", "Zn", "Zn", "Se"],
  "frac_coords": [[0.000, 0.000, 0.000], [0.000, 0.000, 0.500], [0.000, 0.500, 0.000], [0.500, 0.000, 0.000], [0.500, 0.500, 0.500]]
}


Entry 14:
{
  "formula": "Ti2ZnSe4",
  "functional": "GGA-PBE",
  "state": "optimized geometry",
  "sg": "Fd-3m (227)",
  "e_form_raw_ev_per_atom": -0.98,
  "lattice": [[0.000, 5.367, 5.367], [5.367, 0.000, 5.367], [5.367, 5.367, 0.000]],
  "species": ["Ti", "Ti", "Ti", "Ti", "Zn", "Zn", "Se", "Se", "Se", "Se", "Se", "Se", "Se", "Se"],
  "frac_coords": [[0.000, 0.000, 0.000], [0.000, 0.000, 0.500], [0.000, 0.500, 0.000], [0.500, 0.000, 0.000], [0.375, 0.375, 0.375], [0.625, 0.625, 0.625], [0.230, 0.757, 0.757], [0.243, 0.243, 0.243], [0.243, 0.243, 0.770], [0.243, 0.770, 0.243], [0.757, 0.230, 0.757], [0.757, 0.757, 0.230], [0.757, 0.757, 0.757], [0.770, 0.243, 0.243]]
}


Entry 15:
{
  "formula": "Ti2ZnSe",
  "functional": "GGA-PBE",
  "state": "optimized geometry",
  "sg": "Fm-3m (225)",
  "de_polymorph_mev_per_atom": 119,
  "e_form_raw_ev_per_atom": -0.23,
  "lattice": [[6.370, 0.000, 0.000], [0.000, 6.370, 0.000], [0.000, 0.000, 6.370]],
  "species": ["Ti", "Ti", "Ti", "Ti", "Ti", "Ti", "Ti", "Ti", "Zn", "Zn", "Zn", "Zn", "Se", "Se", "Se", "Se"],
  "frac_coords": [[0.250, 0.250, 0.250], [0.250, 0.250, 0.750], [0.250, 0.750, 0.250], [0.250, 0.750, 0.750], [0.750, 0.250, 0.250], [0.750, 0.250, 0.750], [0.750, 0.750, 0.250], [0.750, 0.750, 0.750], [0.000, 0.000, 0.000], [0.000, 0.500, 0.500], [0.500, 0.000, 0.500], [0.500, 0.500, 0.000], [0.000, 0.000, 0.500], [0.000, 0.500, 0.000], [0.500, 0.000, 0.000], [0.500, 0.500, 0.500]]
}


Entry 16:
{
  "formula": "TiZn3Se",
  "functional": "GGA-PBE",
  "state": "optimized geometry",
  "sg": "Pm-3m (221)",
  "de_polymorph_mev_per_atom": 0,
  "e_form_raw_ev_per_atom": 0.84,
  "lattice": [[4.804, 0.000, 0.000], [0.000, 4.804, 0.000], [0.000, 0.000, 4.804]],
  "species": ["Ti", "Zn", "Zn", "Zn", "Se"],
  "frac_coords": [[0.000, 0.000, 0.000], [0.000, 0.500, 0.500], [0.500, 0.000, 0.500], [0.500, 0.500, 0.000], [0.500, 0.500, 0.500]]
}


Entry 17:
{
  "formula": "TiZnSe2",
  "functional": "GGA-PBE",
  "state": "optimized geometry",
  "sg": "R-3m (166)",
  "e_form_raw_ev_per_atom": -0.68,
  "lattice": [[3.544, 0.000, 0.000], [-1.772, 3.069, 0.000], [0.000, 0.000, 24.655]],
  "species": ["Ti", "Ti", "Ti", "Zn", "Zn", "Zn", "Se", "Se", "Se", "Se", "Se", "Se"],
  "frac_coords": [[0.000, 0.000, 0.000], [0.333, 0.667, 0.667], [0.667, 0.333, 0.333], [0.000, 0.000, 0.500], [0.333, 0.667, 0.167], [0.667, 0.333, 0.833], [0.000, 0.000, 0.396], [0.000, 0.000, 0.604], [0.333, 0.667, 0.063], [0.333, 0.667, 0.271], [0.667, 0.333, 0.729], [0.667, 0.333, 0.937]]
}


Entry 18:
{
  "formula": "TiZnSe",
  "functional": "GGA-PBE",
  "state": "optimized geometry",
  "sg": "R-3m (166)",
  "e_form_raw_ev_per_atom": -0.56,
  "lattice": [[2.042, 1.179, 8.696], [-2.042, 1.179, 8.696], [0.000, -2.358, 8.696]],
  "species": ["Ti", "Ti", "Zn", "Zn", "Se", "Se"],
  "frac_coords": [[0.060, 0.060, 0.060], [0.940, 0.940, 0.940], [0.333, 0.333, 0.333], [0.667, 0.667, 0.667], [0.230, 0.230, 0.230], [0.770, 0.770, 0.770]]
}


Entry 19:
{
  "formula": "TiZnSe2",
  "functional": "GGA-PBE",
  "state": "optimized geometry",
  "sg": "I-42d (122)",
  "e_form_raw_ev_per_atom": -0.59,
  "lattice": [[5.892, 0.000, 0.000], [0.000, 5.892, 0.000], [0.000, 0.000, 11.473]],
  "species": ["Ti", "Ti", "Ti", "Ti", "Zn", "Zn", "Zn", "Zn", "Se", "Se", "Se", "Se", "Se", "Se", "Se", "Se"],
  "frac_coords": [[0.000, 0.000, 0.000], [0.000, 0.500, 0.250], [0.500, 0.000, 0.750], [0.500, 0.500, 0.500], [0.000, 0.000, 0.500], [0.000, 0.500, 0.750], [0.500, 0.000, 0.250], [0.500, 0.500, 0.000], [0.241, 0.250, 0.625], [0.250, 0.741, 0.875], [0.250, 0.759, 0.375], [0.259, 0.250, 0.125], [0.741, 0.750, 0.125], [0.750, 0.241, 0.375], [0.750, 0.259, 0.875], [0.759, 0.750, 0.625]]
}


Entry 20:
{
  "formula": "Ti2ZnSe",
  "functional": "GGA-PBE",
  "state": "optimized geometry",
  "sg": "I-42d (122)",
  "de_polymorph_mev_per_atom": 612,
  "e_form_raw_ev_per_atom": 0.26,
  "lattice": [[5.619, 0.000, 0.000], [0.000, 5.619, 0.000], [0.000, 0.000, 11.956]],
  "species": ["Ti", "Ti", "Ti", "Ti", "Ti", "Ti", "Ti", "Ti", "Zn", "Zn", "Zn", "Zn", "Se", "Se", "Se", "Se"],
  "frac_coords": [[0.249, 0.250, 0.125], [0.250, 0.749, 0.375], [0.250, 0.751, 0.875], [0.251, 0.250, 0.625], [0.749, 0.750, 0.625], [0.750, 0.249, 0.875], [0.750, 0.251, 0.375], [0.751, 0.750, 0.125], [0.000, 0.000, 0.000], [0.000, 0.500, 0.250], [0.500, 0.000, 0.750], [0.500, 0.500, 0.500], [0.000, 0.000, 0.500], [0.000, 0.500, 0.750], [0.500, 0.000, 0.250], [0.500, 0.500, 0.000]]
}


| no. | calculated volume (Å³ per cell) | spin magnetization (μB per atom) |
| --- | --- | --- |
| 1 | 119.68 | 0.00 |
| 2 | 317.39 | 0.25 |
| 3 | 154.06 | 0.56 |
| 4 | 120.01 | 0.00 |
| 5 | 152.86 | 0.00 |
| 6 | 454.61 | 0.41 |
| 7 | 506.17 | 0.20 |
| 8 | 351.48 | 0.00 |
| 9 | 301.88 | 0.17 |
| 10 | 416.53 | 0.32 |
| 11 | 136.85 | 0.37 |
| 12 | 214.20 | 0.00 |
| 13 | 126.56 | 0.00 |
| 14 | 309.23 | 0.25 |
| 15 | 258.43 | 0.00 |
| 16 | 110.85 | 0.00 |
| 17 | 268.23 | 0.00 |
| 18 | 125.65 | 0.00 |
| 19 | 398.27 | 0.50 |
| 20 | 377.42 | 0.00 |